1.
Entry from Alexandria via LeMat-Bulk: a relaxed structure of CuSnP (PBE-GGA).

- Space-group type: No. 187
- Theoretical density: 6.1 g/cm3
- Fermi-level density of states: 0.2902 states/eV per atom
- Volume: 57.83 Å³/cell
- E: -13.4 eV/cell
- Total magnetization: 0.000 μB/atom
- E_form: 25 meV per atom

Cell: 4.233 3.972 3.972 Å, 120.00 90.00 90.00°
Fractional positions:
1 Cu 0.166 0.000 0.000
2 P 0.167 0.333 0.667
3 Sn 0.667 0.667 0.333

***

2.
Entry from Alexandria via LeMat-Bulk: a relaxed structure of CuSn2P (PBE-GGA).

- Space-group type: No. 122
- Theoretical density: 5.2 g/cm3
- Fermi-level density of states: 0.1128 states/eV per atom
- Volume: 212.07 Å³/cell
- E: -33.8 eV/cell
- Total magnetization: 0.000 μB/atom
- E_form: 158 meV per atom

Cell: 6.204 6.204 7.043 Å, 63.87 63.87 90.00°
Fractional positions:
1 Sn 0.117 0.625 0.250
2 Sn 0.875 0.883 0.750
3 Sn 0.633 0.125 0.250
4 Sn 0.375 0.367 0.750
5 Cu 0.750 0.250 0.500
6 Cu 0.000 0.000 0.000
7 P 0.500 0.500 0.000
8 P 0.250 0.750 0.500

***

3.
Entry from Alexandria via LeMat-Bulk: a relaxed structure of CuSnP2 (PBE-GGA).

- Space-group type: No. 122
- Theoretical density: 4.7 g/cm3
- Fermi-level density of states: 0.6276 states/eV per atom
- Volume: 173.02 Å³/cell
- E: -37.9 eV/cell
- Total magnetization: 0.000 μB/atom
- E_form: -10 meV per atom

Cell: 5.559 5.559 6.842 Å, 66.03 66.03 90.00°
Fractional positions:
1 Sn 0.750 0.250 0.500
2 Sn 0.000 0.000 0.000
3 P 0.582 0.125 0.250
4 P 0.168 0.625 0.250
5 P 0.375 0.418 0.750
6 P 0.875 0.832 0.750
7 Cu 0.250 0.750 0.500
8 Cu 0.500 0.500 0.000

***

4.
Entry from Alexandria via LeMat-Bulk: a relaxed structure of CuSnP (PBE-GGA).

- Space-group type: No. 107
- Theoretical density: 6.2 g/cm3
- Fermi-level density of states: 0.3321 states/eV per atom
- Volume: 56.73 Å³/cell
- E: -12.5 eV/cell
- Total magnetization: 0.000 μB/atom
- E_form: 325 meV per atom

Cell: 3.769 3.769 4.801 Å, 113.11 113.11 90.00°
Fractional positions:
1 P 0.639 0.639 0.279
2 Cu 0.936 0.936 0.872
3 Sn 0.275 0.275 0.550

***

5.
Entry from Alexandria via LeMat-Bulk: a relaxed structure of CuSn3P (PBE-GGA).

- Space-group type: No. 221
- Theoretical density: 5.2 g/cm3
- Fermi-level density of states: 0.7233 states/eV per atom
- Volume: 143.49 Å³/cell
- E: -17.9 eV/cell
- Total magnetization: 0.000 μB/atom
- E_form: 714 meV per atom

Cell: 5.235 5.235 5.235 Å, 90.00 90.00 90.00°
Fractional positions:
1 P 0.000 0.000 0.000
2 Cu 0.500 0.500 0.500
3 Sn 0.000 0.000 0.500
4 Sn 0.000 0.500 0.000
5 Sn 0.500 0.000 0.000

***

6.
Entry from Alexandria via LeMat-Bulk: a relaxed structure of Cu2Sn2P (PBE-GGA).

- Space-group type: No. 127
- Theoretical density: 7.1 g/cm3
- Fermi-level density of states: 0.4406 states/eV per atom
- Volume: 185.90 Å³/cell
- E: -41.3 eV/cell
- Total magnetization: 0.000 μB/atom
- E_form: 195 meV per atom

Cell: 6.717 6.717 4.120 Å, 90.00 90.00 90.00°
Fractional positions:
1 Cu 0.367 0.867 0.000
2 Cu 0.633 0.133 0.000
3 Cu 0.867 0.633 0.000
4 Cu 0.133 0.367 0.000
5 P 0.000 0.000 0.000
6 P 0.500 0.500 0.000
7 Sn 0.671 0.829 0.500
8 Sn 0.829 0.329 0.500
9 Sn 0.171 0.671 0.500
10 Sn 0.329 0.171 0.500